First-principles (PBE) data for a geometry-optimized Tb3PmNd2Y6 structure, as listed in Alexandria.

Output
E_tot, eV/cell: -66.78

Cell lengths 6.2299, 6.2299, 11.8644 Å; angles 95.00, 95.00, 119.97 degrees
Last column: nearest neighbours and their distance in Å.
Fractional coordinates of all 12 atoms:
Tb 0.0000 0.0000 0.0000  6 Y 3.56, 6 Tb 3.60
Tb 0.3333 0.6667 0.0000  6 Y 3.56, 6 Tb 3.60
Tb 0.6667 0.3333 0.0000  6 Y 3.56, 6 Tb 3.60
Pm 0.5000 0.5000 0.5000  6 Nd 3.60, 6 Y 3.61
Nd 0.1666 0.8334 0.5000  3 Nd 3.59-3.60, 3 Pm 3.60, 6 Y 3.61
Nd 0.8334 0.1666 0.5000  3 Nd 3.59-3.60, 3 Pm 3.60, 6 Y 3.61
Y 0.0822 0.4155 0.2475  3 Tb 3.56, 6 Y 3.60, 2 Nd 3.61, 1 Pm 3.61
Y 0.2514 0.2514 0.7527  3 Tb 3.56, 6 Y 3.60, 1 Pm 3.61, 2 Nd 3.61
Y 0.4155 0.0822 0.2475  3 Tb 3.56, 6 Y 3.60, 2 Nd 3.61, 1 Pm 3.61
Y 0.5845 0.9178 0.7525  3 Tb 3.56, 6 Y 3.60, 2 Nd 3.61, 1 Pm 3.61
Y 0.7486 0.7486 0.2473  3 Tb 3.56, 6 Y 3.60, 1 Pm 3.61, 2 Nd 3.61
Y 0.9178 0.5845 0.7525  3 Tb 3.56, 6 Y 3.60, 2 Nd 3.61, 1 Pm 3.61